Entry 1:
LaAg4, relaxed, DFT GGA-PBE; energy relative to the elements = -0.138 eV per atom; electronic total energy = -3.4046 eV per atom
1.0
-4.860 4.860 4.860
4.860 -4.860 4.860
4.860 4.860 -4.860
La Ag
4 16
Direct
0.000 0.000 0.577
0.000 0.577 0.000
0.423 0.423 0.423
0.577 0.000 0.000
0.000 0.000 0.212
0.000 0.212 0.000
0.000 0.353 0.353
0.000 0.647 0.647
0.212 0.000 0.000
0.250 0.500 0.750
0.250 0.750 0.500
0.353 0.000 0.353
0.353 0.353 0.000
0.500 0.250 0.750
0.500 0.750 0.250
0.647 0.000 0.647
0.647 0.647 0.000
0.750 0.250 0.500
0.750 0.500 0.250
0.788 0.788 0.788

***

Entry 2:
RbBPb, relaxed, DFT GGA-PBE; energy relative to the elements = 0.939 eV per atom; electronic total energy = -2.8452 eV per atom
1.0
6.026 0.000 0.000
-3.013 5.219 0.000
0.000 0.000 8.280
Rb B Pb
2 2 2
Direct
0.333 0.667 0.250
0.667 0.333 0.750
0.000 0.000 0.250
0.000 0.000 0.750
0.000 0.000 0.000
0.000 0.000 0.500

***

Entry 3:
Co2RuCl, relaxed, DFT GGA-PBE; formation energy without anion corrections = 3.1 eV per formula unit; distance to the lowest polymorph of the same formula = 0.426 eV/atom; electronic total energy = -5.5556 eV per atom
1.0
4.440 0.000 0.000
0.000 4.440 0.000
0.000 0.000 2.772
Co Ru Cl
2 1 1
Direct
0.000 0.500 0.000
0.500 0.000 0.000
0.000 0.000 0.500
0.500 0.500 0.500

***

Entry 4:
TbCe2PaSb5, relaxed, DFT GGA-PBE; formation energy without anion corrections = -1.1 eV per formula unit; electronic total energy = -5.3021 eV per atom
1.0
5.333 0.000 0.000
0.000 5.333 0.000
0.000 0.000 11.598
Tb Ce Pa Sb
1 2 1 5
Direct
0.000 0.000 0.000
0.500 0.500 0.188
0.500 0.500 0.812
0.000 0.000 0.500
0.000 0.000 0.254
0.000 0.000 0.746
0.000 0.500 0.000
0.500 0.000 0.000
0.500 0.500 0.500

***

Entry 5:
BaBe2Cu, relaxed, DFT GGA-PBE; distance to the lowest polymorph of the same formula = 0.376 eV/atom; energy relative to the elements = 0.481 eV per atom; electronic total energy = -2.8866 eV per atom
1.0
3.073 0.000 0.000
0.000 3.073 0.000
0.000 0.000 7.356
Ba Be Cu
1 2 1
Direct
0.000 0.000 0.000
0.500 0.500 0.351
0.500 0.500 0.649
0.000 0.000 0.500

***

Entry 6:
Sc4SbPbC, relaxed, DFT GGA-PBE; formation energy without anion corrections = -5.2 eV per formula unit; electronic total energy = -6.7926 eV per atom
1.0
3.173 -7.487 0.000
3.173 7.487 0.000
0.000 0.000 6.343
Sc Sb Pb C
8 2 2 2
Direct
0.000 0.500 0.000
0.000 0.500 0.500
0.097 0.903 0.750
0.401 0.599 0.750
0.500 0.000 0.000
0.500 0.000 0.500
0.599 0.401 0.250
0.903 0.097 0.250
0.106 0.894 0.250
0.894 0.106 0.750
0.397 0.603 0.250
0.603 0.397 0.750
0.250 0.750 0.750
0.750 0.250 0.250

***

Entry 7:
Pm4Cd2O, relaxed, DFT GGA-PBE; formation energy without anion corrections = -6.3 eV per formula unit; distance to the lowest polymorph of the same formula = 0.000 eV/atom; electronic total energy = -4.5913 eV per atom
1.0
-2.459 2.459 7.798
2.459 -2.459 7.798
2.459 2.459 -7.798
Pm Cd O
4 2 1
Direct
0.000 0.500 0.500
0.172 0.172 0.000
0.500 0.000 0.500
0.828 0.828 0.000
0.369 0.369 0.000
0.631 0.631 0.000
0.000 0.000 0.000

***

Entry 8:
LiZnP2, relaxed, DFT GGA-PBE; energy relative to the elements = -0.015 eV per atom; electronic total energy = -3.5168 eV per atom
1.0
-3.606 3.606 2.483
3.606 -3.606 2.483
3.606 3.606 -2.483
Li Zn P
2 2 4
Direct
0.000 0.000 0.000
0.750 0.250 0.500
0.250 0.750 0.500
0.500 0.500 0.000
0.172 0.125 0.547
0.375 0.828 0.953
0.578 0.625 0.453
0.875 0.422 0.047

***

Entry 9:
KUPb2S6, relaxed, DFT GGA-PBE; formation energy without anion corrections = -8.0 eV per formula unit; electronic total energy = -5.2581 eV per atom
1.0
6.998 0.000 0.000
0.000 8.279 0.000
-6.574 0.000 10.397
K U Pb S
2 2 4 12
Direct
0.000 0.000 0.000
0.000 0.500 0.500
0.500 0.000 0.500
0.500 0.500 0.000
0.184 0.056 0.693
0.184 0.444 0.193
0.816 0.556 0.807
0.816 0.944 0.307
0.156 0.164 0.470
0.156 0.336 0.970
0.238 0.737 0.886
0.238 0.763 0.386
0.424 0.107 0.288
0.424 0.393 0.788
0.576 0.607 0.212
0.576 0.893 0.712
0.762 0.237 0.614
0.762 0.263 0.114
0.844 0.664 0.030
0.844 0.836 0.530

***

Entry 10:
ZrTa3Cr, relaxed, DFT GGA-PBE; distance to the lowest polymorph of the same formula = 0.000 eV/atom; energy relative to the elements = 0.741 eV per atom; electronic total energy = -10.0053 eV per atom
1.0
4.656 0.000 0.000
0.000 4.656 0.000
0.000 0.000 4.656
Zr Ta Cr
1 3 1
Direct
0.000 0.000 0.000
0.000 0.500 0.500
0.500 0.000 0.500
0.500 0.500 0.000
0.500 0.500 0.500

***

Entry 11:
PuBiH, relaxed, DFT GGA-PBE; distance to the lowest polymorph of the same formula = 0.176 eV/atom; electronic total energy = -7.3487 eV per atom
1.0
3.064 -1.734 0.000
3.064 1.734 0.000
-0.780 0.000 12.424
Pu Bi H
2 2 2
Direct
0.147 0.147 0.369
0.853 0.853 0.631
0.446 0.446 0.144
0.554 0.554 0.856
0.173 0.173 0.552
0.827 0.827 0.448

***

Entry 12:
Li3SbSe4, relaxed, DFT GGA-PBE; formation energy without anion corrections = -6.2 eV per formula unit; electronic total energy = -3.7471 eV per atom
1.0
8.455 0.000 0.000
0.000 7.237 0.000
0.000 0.000 6.832
Li Sb Se
6 2 8
Direct
0.000 0.151 0.000
0.244 0.323 0.489
0.256 0.677 0.989
0.500 0.849 0.500
0.744 0.677 0.989
0.756 0.323 0.489
0.000 0.826 0.490
0.500 0.174 0.990
0.000 0.153 0.617
0.000 0.814 0.120
0.244 0.662 0.611
0.256 0.338 0.111
0.500 0.186 0.620
0.500 0.847 0.117
0.744 0.338 0.111
0.756 0.662 0.611

***

Entry 13:
KSi2P2, relaxed, DFT GGA-PBE; formation energy without anion corrections = -0.2 eV per formula unit; electronic total energy = -4.6023 eV per atom
1.0
-2.222 2.222 5.893
2.222 -2.222 5.893
2.222 2.222 -5.893
K Si P
1 2 2
Direct
0.000 0.000 0.000
0.250 0.750 0.500
0.750 0.250 0.500
0.326 0.326 0.000
0.674 0.674 0.000

***

Entry 14:
AcLaHoGa, relaxed, DFT GGA-PBE; energy relative to the elements = 0.012 eV per atom; electronic total energy = -4.1486 eV per atom
1.0
0.000 3.946 3.946
3.946 0.000 3.946
3.946 3.946 0.000
Ac La Ho Ga
1 1 1 1
Direct
0.000 0.000 0.000
0.750 0.750 0.750
0.250 0.250 0.250
0.500 0.500 0.500

***

Entry 15:
PmY2Er8, relaxed, DFT GGA-PBE; distance to the lowest polymorph of the same formula = 0.036 eV/atom; energy relative to the elements = 0.155 eV per atom; electronic total energy = -4.7704 eV per atom
1.0
4.618 -8.495 0.000
4.618 8.495 0.000
-3.765 0.000 4.548
Pm Y Er
1 2 8
Direct
0.000 0.000 0.000
0.311 0.689 0.500
0.689 0.311 0.500
0.099 0.359 0.727
0.201 0.799 0.000
0.359 0.099 0.727
0.497 0.497 0.256
0.503 0.503 0.744
0.641 0.901 0.273
0.799 0.201 0.000
0.901 0.641 0.273

***

Entry 16:
AgSb2P, relaxed, DFT GGA-PBE; formation energy without anion corrections = 1.0 eV per formula unit; electronic total energy = -3.8835 eV per atom
1.0
6.153 -1.862 0.000
6.153 1.862 0.000
-1.735 0.000 4.292
Ag Sb P
1 2 1
Direct
0.000 0.000 0.000
0.634 0.634 0.504
0.852 0.852 0.358
0.199 0.199 0.953

***

Entry 17:
RbTmReO6, relaxed, DFT GGA-PBE; formation energy without anion corrections = -18.2 eV per formula unit; electronic total energy = -7.3168 eV per atom
1.0
2.846 -5.004 0.000
2.846 5.004 0.000
-0.134 0.000 5.965
Rb Tm Re O
1 1 1 6
Direct
0.000 0.000 0.000
0.681 0.319 0.500
0.321 0.679 0.500
0.040 0.424 0.309
0.050 0.616 0.696
0.384 0.950 0.304
0.385 0.416 0.653
0.576 0.960 0.691
0.584 0.615 0.347

***

Entry 18:
Mn2GaPb, relaxed, DFT GGA-PBE; distance to the lowest polymorph of the same formula = 0.294 eV/atom; energy relative to the elements = 0.702 eV per atom; electronic total energy = -5.5668 eV per atom
1.0
-1.999 1.999 8.821
1.999 -1.999 8.821
1.999 1.999 -8.821
Mn Ga Pb
4 2 2
Direct
0.009 0.625 0.884
0.375 0.259 0.384
0.741 0.125 0.116
0.875 0.991 0.616
0.000 0.000 0.000
0.750 0.250 0.500
0.250 0.750 0.500
0.500 0.500 0.000

***

Entry 19:
AcSmMgGe, relaxed, DFT GGA-PBE; energy relative to the elements = -0.294 eV per atom; electronic total energy = -4.0539 eV per atom
1.0
0.000 3.850 3.850
3.850 0.000 3.850
3.850 3.850 0.000
Ac Sm Mg Ge
1 1 1 1
Direct
0.000 0.000 0.000
0.500 0.500 0.500
0.750 0.750 0.750
0.250 0.250 0.250

***

Entry 20:
ScTcPb2, relaxed, DFT GGA-PBE; distance to the lowest polymorph of the same formula = 0.230 eV/atom; energy relative to the elements = 0.304 eV per atom; electronic total energy = -5.7244 eV per atom
1.0
1.688 0.975 9.096
-1.688 0.975 9.096
0.000 -1.950 9.096
Sc Tc Pb
1 1 2
Direct
0.000 0.000 0.000
0.500 0.500 0.500
0.242 0.242 0.242
0.758 0.758 0.758